1.
Material: YSnRh
Method: DFT, PBE-GGA
State: relaxed

energy relative to the elements	-0.90	eV/atom
total moment	0.00	Bohr magnetons per cell
crystal system	hexagonal

Lattice parameters (Å, degrees): 3.726 7.694 7.694 120.00 90.00 90.00
Positions (direct):
Sn (0.000, 0.266, 0.000)
Sn (0.000, 0.000, 0.266)
Rh (0.000, 0.333, 0.667)
Y (0.500, 0.000, 0.598)
Y (0.500, 0.598, 0.000)
Rh (0.000, 0.667, 0.333)
Rh (0.500, 0.000, 0.000)
Y (0.500, 0.402, 0.402)
Sn (0.000, 0.734, 0.734)

---

2.
Material: Hg2AsAu
Method: DFT, PBE-GGA
State: relaxed

energy relative to the elements	0.18	eV/atom
total moment	0.00	Bohr magnetons per cell
excess energy over the best structure of this formula in the dataset	4.7	kJ per mole of atoms
crystal system	monoclinic

Lattice parameters (Å, degrees): 8.655 6.506 2.886 61.45 112.64 138.64
Positions (direct):
Hg (0.000, 0.000, 0.000)
Au (0.500, 0.500, 0.000)
As (0.000, 0.500, 0.500)
Hg (0.500, 0.000, 0.500)

---

3.
Material: PrNd2Sn2Hg2
Method: DFT, PBE-GGA
State: relaxed

energy relative to the elements	-0.38	eV/atom
total moment	0.00	Bohr magnetons per cell
crystal system	trigonal

Lattice parameters (Å, degrees): 5.018 5.018 9.803 75.17 75.17 60.00
Positions (direct):
Sn (0.729, 0.729, 0.812)
Nd (0.131, 0.131, 0.607)
Sn (0.271, 0.271, 0.188)
Hg (0.427, 0.427, 0.718)
Pr (0.000, 0.000, 0.000)
Nd (0.869, 0.869, 0.393)
Hg (0.573, 0.573, 0.282)

---

4.
Material: Zn2InP
Method: DFT, PBE-GGA
State: relaxed

energy relative to the elements	0.24	eV/atom
total moment	0.00	Bohr magnetons per cell
crystal system	tetragonal

Lattice parameters (Å, degrees): 3.390 3.390 6.464 90.00 90.00 90.00
Positions (direct):
Zn (0.000, 0.000, 0.699)
In (0.500, 0.500, 0.000)
P (0.500, 0.500, 0.500)
Zn (0.000, 0.000, 0.301)

---

5.
Material: SrScCo
Method: DFT, PBE-GGA
State: relaxed

energy relative to the elements	0.24	eV/atom
total moment	0.00	Bohr magnetons per cell
excess energy over the best structure of this formula in the dataset	10.9	kJ per mole of atoms
crystal system	trigonal

Lattice parameters (Å, degrees): 3.863 3.863 6.318 90.00 90.00 120.00
Positions (direct):
Co (0.000, 0.000, 0.043)
Sc (0.333, 0.667, 0.218)
Sr (0.667, 0.333, 0.739)

---

Question: What is the total moment in the second record?
Answer: 0.00 Bohr magnetons per cell

---

Question: What is the formula in the fifth record?
Answer: SrScCo

---

Question: What is the energy relative to the elements in the third record?
Answer: -0.38 eV/atom